# 1
# SrRuW PBE relaxed
data_SrRuW
_chemical_formula_sum 'Sr1 Ru1 W1'
_cell_length_a 3.0393
_cell_length_b 3.0393
_cell_length_c 7.4194
_cell_angle_alpha 90.00
_cell_angle_beta 90.00
_cell_angle_gamma 120.00
_space_group_name_H-M_alt 'P 3 m 1'
_space_group_IT_number 156
loop_
_space_group_symop_operation_xyz
'x,y,z'
'-y,x-y,z'
'-x+y,-x,z'
'-y,-x,z'
'-x+y,y,z'
'x,x-y,z'
loop_
_atom_site_label
_atom_site_type_symbol
_atom_site_fract_x
_atom_site_fract_y
_atom_site_fract_z
Sr1 Sr 0.0000 0.0000 0.0000
Ru1 Ru 0.3333 0.6667 0.6377
W1 W 0.6667 0.3333 0.3787
# Polymorph energy (0 for the lowest one), meV/atom: 394
# Size of the total moment, μB per formula unit: 0.0
# Energy of formation from the pure elements, eV per atom: 0.920
# Volume, A^3/atom: 19.78
# Fermi-level density of states, states/eV per cell: 3.577

# 2
# Os2Ru2Rh PBE relaxed
data_Os2Ru2Rh
_chemical_formula_sum 'Os4 Ru4 Rh2'
_cell_length_a 7.397
_cell_length_b 7.397
_cell_length_c 2.750
_cell_angle_alpha 90.00
_cell_angle_beta 90.00
_cell_angle_gamma 90.00
_space_group_name_H-M_alt 'P 4/m b m'
_space_group_IT_number 127
_space_group_name_Hall '-P 4 2ab'
loop_
_atom_site_label
_atom_site_type_symbol
_atom_site_fract_x
_atom_site_fract_y
_atom_site_fract_z
Os1 Os 0.124 0.376 0.000
Ru1 Ru 0.170 0.670 0.500
Rh1 Rh 0.000 0.000 0.000
# Polymorph energy (0 for the lowest one), meV/atom: 245
# Size of the total moment, μB per formula unit: 0.0
# Energy of formation from the pure elements, eV per atom: 0.333
# Volume, A^3/atom: 15.04
# Fermi-level density of states, states/eV per cell: 10.871

# 3
# CdW2Se PBE relaxed
data_CdW2Se
_chemical_formula_sum 'Cd2 W4 Se2'
_cell_length_a 3.231
_cell_length_b 4.736
_cell_length_c 10.307
_cell_angle_alpha 90.00
_cell_angle_beta 90.00
_cell_angle_gamma 90.00
_space_group_name_H-M_alt 'C m m 2'
_space_group_IT_number 35
loop_
_space_group_symop_operation_xyz
'x,y,z'
'-x,-y,z'
'-x,y,z'
'x,-y,z'
'x+1/2,y+1/2,z'
'-x+1/2,-y+1/2,z'
'-x+1/2,y+1/2,z'
'x+1/2,-y+1/2,z'
loop_
_atom_site_label
_atom_site_type_symbol
_atom_site_fract_x
_atom_site_fract_y
_atom_site_fract_z
Cd1 Cd 0.000 0.000 0.000
W1 W 0.000 0.000 0.447
W2 W 0.000 0.500 0.244
Se1 Se 0.000 0.500 0.651
# E_form (uncorrected), eV per atom: 0.376
# Polymorph energy (0 for the lowest one), meV/atom: 62
# Size of the total moment, μB per formula unit: 0.0
# Volume, A^3/atom: 19.72
# Fermi-level density of states, states/eV per cell: 4.528

# 4
# Ca2InCl PBE relaxed
data_Ca2InCl
_chemical_formula_sum 'Ca4 In2 Cl2'
_cell_length_a 4.368
_cell_length_b 4.368
_cell_length_c 13.003
_cell_angle_alpha 90.00
_cell_angle_beta 90.00
_cell_angle_gamma 90.00
_space_group_name_H-M_alt 'I -4 m 2'
_space_group_IT_number 119
_space_group_name_Hall 'I -4 -2'
loop_
_atom_site_label
_atom_site_type_symbol
_atom_site_fract_x
_atom_site_fract_y
_atom_site_fract_z
Ca1 Ca 0.000 0.000 0.000
Ca2 Ca 0.000 0.500 0.250
In1 In 0.000 0.000 0.500
Cl1 Cl 0.000 0.500 0.750
# E_form (uncorrected), eV per atom: -0.725
# Polymorph energy (0 for the lowest one), meV/atom: 353
# Size of the total moment, μB per formula unit: 0.0
# Volume, A^3/atom: 31.01
# Fermi-level density of states, states/eV per cell: 4.165

# 5
# TiSi3O PBE relaxed
data_TiSi3O
_chemical_formula_sum 'Ti1 Si3 O1'
_cell_length_a 4.065
_cell_length_b 4.065
_cell_length_c 4.065
_cell_angle_alpha 90.00
_cell_angle_beta 90.00
_cell_angle_gamma 90.00
_space_group_name_H-M_alt 'P m -3 m'
_space_group_IT_number 221
_space_group_name_Hall '-P 4 2 3'
loop_
_atom_site_label
_atom_site_type_symbol
_atom_site_fract_x
_atom_site_fract_y
_atom_site_fract_z
Ti1 Ti 0.000 0.000 0.000
Si1 Si 0.000 0.500 0.500
O1 O 0.500 0.500 0.500
# E_form (uncorrected), eV per atom: -0.147
# Polymorph energy (0 for the lowest one), meV/atom: 0
# Size of the total moment, μB per formula unit: 0.0
# Volume, A^3/atom: 13.43
# Fermi-level density of states, states/eV per cell: 2.207

# 6
# LaZn2Os PBE relaxed
data_LaZn2Os
_chemical_formula_sum 'La1 Zn2 Os1'
_cell_length_a 3.031
_cell_length_b 4.016
_cell_length_c 6.535
_cell_angle_alpha 90.00
_cell_angle_beta 97.23
_cell_angle_gamma 90.00
_space_group_name_H-M_alt 'P 1 m 1'
_space_group_IT_number 6
loop_
_space_group_symop_operation_xyz
'x,y,z'
'x,-y,z'
loop_
_atom_site_label
_atom_site_type_symbol
_atom_site_fract_x
_atom_site_fract_y
_atom_site_fract_z
La1 La 0.000 0.000 0.000
Zn1 Zn 0.354 0.000 0.439
Zn2 Zn 0.388 0.500 0.667
Os1 Os 0.799 0.500 0.313
# Size of the total moment, μB per formula unit: 0.0
# Energy of formation from the pure elements, eV per atom: 0.102
# Volume, A^3/atom: 19.73
# Fermi-level density of states, states/eV per cell: 3.114

# 7
# PtC2 PBE relaxed
data_PtC2
_chemical_formula_sum 'Pt2 C4'
_cell_length_a 4.1463
_cell_length_b 4.1463
_cell_length_c 4.1280
_cell_angle_alpha 90.00
_cell_angle_beta 90.00
_cell_angle_gamma 120.00
_space_group_name_H-M_alt 'P 63/m m c'
_space_group_IT_number 194
_space_group_name_Hall '-P 6c 2c'
loop_
_atom_site_label
_atom_site_type_symbol
_atom_site_fract_x
_atom_site_fract_y
_atom_site_fract_z
Pt1 Pt 0.3333 0.6667 0.2500
C1 C 0.0000 0.0000 0.0000
C2 C 0.3333 0.6667 0.7500
# Polymorph energy (0 for the lowest one), meV/atom: 2284
# Size of the total moment, μB per formula unit: 0.0
# Energy of formation from the pure elements, eV per atom: 2.606
# Volume, A^3/atom: 10.24
# Fermi-level density of states, states/eV per cell: 1.655

# 8
# CsAsAuSe2 PBE relaxed
data_CsAsAuSe2
_chemical_formula_sum 'Cs1 As1 Au1 Se2'
_cell_length_a 6.171
_cell_length_b 6.171
_cell_length_c 6.722
_cell_angle_alpha 90.00
_cell_angle_beta 90.00
_cell_angle_gamma 90.00
_space_group_name_H-M_alt 'P 4/m m m'
_space_group_IT_number 123
_space_group_name_Hall '-P 4 2'
loop_
_atom_site_label
_atom_site_type_symbol
_atom_site_fract_x
_atom_site_fract_y
_atom_site_fract_z
Cs1 Cs 0.000 0.000 0.000
As1 As 0.000 0.000 0.500
Au1 Au 0.500 0.500 0.500
Se1 Se 0.000 0.500 0.000
# E_form (uncorrected), eV per atom: 1.522
# Polymorph energy (0 for the lowest one), meV/atom: 1775
# Size of the total moment, μB per formula unit: 4.6
# Volume, A^3/atom: 51.19
# Fermi-level density of states, states/eV per cell: 5.902

# 9
# Dy4Pb2SeS PBE relaxed
data_Dy4Pb2SeS
_chemical_formula_sum 'Dy4 Pb2 Se1 S1'
_cell_length_a 6.783
_cell_length_b 3.932
_cell_length_c 8.181
_cell_angle_alpha 90.00
_cell_angle_beta 106.03
_cell_angle_gamma 90.00
_space_group_name_H-M_alt 'P 1 2/m 1'
_space_group_IT_number 10
loop_
_space_group_symop_operation_xyz
'x,y,z'
'-x,-y,-z'
'-x,y,-z'
'x,-y,z'
loop_
_atom_site_label
_atom_site_type_symbol
_atom_site_fract_x
_atom_site_fract_y
_atom_site_fract_z
Dy1 Dy 0.225 0.000 0.203
Dy2 Dy 0.256 0.500 0.792
Pb1 Pb 0.000 0.000 0.500
Pb2 Pb 0.500 0.500 0.500
Se1 Se 0.500 0.000 0.000
S1 S 0.000 0.500 0.000
# E_form (uncorrected), eV per atom: -1.144
# Size of the total moment, μB per formula unit: 0.0
# Volume, A^3/atom: 26.21
# Fermi-level density of states, states/eV per cell: 3.703

# 10
# TbSmPu2Se5 PBE relaxed
data_TbSmPu2Se5
_chemical_formula_sum 'Tb1 Sm1 Pu2 Se5'
_cell_length_a 5.165
_cell_length_b 5.165
_cell_length_c 10.918
_cell_angle_alpha 90.00
_cell_angle_beta 90.00
_cell_angle_gamma 90.00
_space_group_name_H-M_alt 'P 4/m m m'
_space_group_IT_number 123
_space_group_name_Hall '-P 4 2'
loop_
_atom_site_label
_atom_site_type_symbol
_atom_site_fract_x
_atom_site_fract_y
_atom_site_fract_z
Tb1 Tb 0.000 0.000 0.000
Sm1 Sm 0.000 0.000 0.500
Pu1 Pu 0.500 0.500 0.187
Se1 Se 0.000 0.000 0.254
Se2 Se 0.000 0.500 0.000
Se3 Se 0.500 0.500 0.500
# E_form (uncorrected), eV per atom: -1.141
# Size of the total moment, μB per formula unit: 11.9
# Volume, A^3/atom: 32.36
# Fermi-level density of states, states/eV per cell: 32.640

# 11
# BaCd2W PBE relaxed
data_BaCd2W
_chemical_formula_sum 'Ba1 Cd2 W1'
_cell_length_a 5.603
_cell_length_b 5.603
_cell_length_c 3.050
_cell_angle_alpha 90.00
_cell_angle_beta 90.00
_cell_angle_gamma 90.00
_space_group_name_H-M_alt 'P 4/m m m'
_space_group_IT_number 123
_space_group_name_Hall '-P 4 2'
loop_
_atom_site_label
_atom_site_type_symbol
_atom_site_fract_x
_atom_site_fract_y
_atom_site_fract_z
Ba1 Ba 0.000 0.000 0.000
Cd1 Cd 0.000 0.500 0.500
W1 W 0.500 0.500 0.000
# Polymorph energy (0 for the lowest one), meV/atom: 250
# Size of the total moment, μB per formula unit: 0.0
# Energy of formation from the pure elements, eV per atom: 0.869
# Volume, A^3/atom: 23.94
# Fermi-level density of states, states/eV per cell: 1.729

# 12
# TmLu2Co PBE relaxed
data_TmLu2Co
_chemical_formula_sum 'Tm3 Lu6 Co3'
_cell_length_a 5.0681
_cell_length_b 5.0681
_cell_length_c 12.3922
_cell_angle_alpha 90.00
_cell_angle_beta 90.00
_cell_angle_gamma 120.00
_space_group_name_H-M_alt 'R -3 m'
_space_group_IT_number 166
_space_group_name_Hall '-R 3 2"'
loop_
_atom_site_label
_atom_site_type_symbol
_atom_site_fract_x
_atom_site_fract_y
_atom_site_fract_z
Tm1 Tm 0.0000 0.0000 0.0000
Lu1 Lu 0.0000 0.0000 0.2503
Co1 Co 0.0000 0.0000 0.5000
# Polymorph energy (0 for the lowest one), meV/atom: 343
# Size of the total moment, μB per formula unit: 0.6
# Energy of formation from the pure elements, eV per atom: 0.238
# Volume, A^3/atom: 22.97
# Fermi-level density of states, states/eV per cell: 12.749

# 13
# TbDyGaIr PBE relaxed
data_TbDyGaIr
_chemical_formula_sum 'Tb4 Dy4 Ga4 Ir4'
_cell_length_a 7.024
_cell_length_b 7.024
_cell_length_c 7.024
_cell_angle_alpha 90.00
_cell_angle_beta 90.00
_cell_angle_gamma 90.00
_space_group_name_H-M_alt 'F -4 3 m'
_space_group_IT_number 216
_space_group_name_Hall 'F -4 2 3'
loop_
_atom_site_label
_atom_site_type_symbol
_atom_site_fract_x
_atom_site_fract_y
_atom_site_fract_z
Tb1 Tb 0.000 0.000 0.000
Dy1 Dy 0.000 0.000 0.500
Ga1 Ga 0.250 0.250 0.250
Ir1 Ir 0.250 0.250 0.750
# Polymorph energy (0 for the lowest one), meV/atom: 71
# Size of the total moment, μB per formula unit: 0.0
# Energy of formation from the pure elements, eV per atom: -0.670
# Volume, A^3/atom: 21.66
# Fermi-level density of states, states/eV per cell: 10.990